Compound: K2NaSiSb
Source: Alexandria
Functional: GGA-PBE
Structure: optimized geometry

a = 6.382 Å, b = 6.382 Å, c = 5.602 Å
α = 90.00°, β = 90.00°, γ = 90.00°
Space group P4/mmm (No. 123)
Inequivalent atoms, fractional coordinates:
K1 0.000 0.500 0.000 [2 per cell]
Na1 0.000 0.000 0.500 [1 per cell]
Si1 0.000 0.000 0.000 [1 per cell]
Sb1 0.500 0.500 0.500 [1 per cell]

Output
**Mass density**: 1.8 Mg/m³
**Crystal system**: tetragonal
**Total energy**: -10.76 eV for the cell shown
**Volume**: 228.2 Å³/cell